Re2Ru | PBE | optimized geometry

Values from the calculation:
- total magnetic moment (μB/cell) = 0.00
- D(E_F) (states/eV per atom) = 0.384
- density (Mg/m³) = 17.534
- total DFT energy (no corrections) (eV per atom) = -11.258

Cell lengths 4.3804, 4.3804, 2.6985 Å; angles 90.00, 90.00, 120.00 degrees
Last column: nearest neighbours and their distance in Å.
Fractional coordinates of all 3 atoms:
Re 0.3333 0.6667 0.0000  5 Re 2.53-2.70
Re 0.6667 0.3333 0.0000  5 Re 2.53-2.70
Ru 0.0000 0.0000 0.5000  2 Ru 2.70, 12 Re 2.87



CsLa | PBE | optimized geometry

Values from the calculation:
- total magnetic moment (μB/cell) = 0.00
- D(E_F) (states/eV per atom) = 0.889
- density (Mg/m³) = 4.525
- total DFT energy (no corrections) (eV per atom) = -2.349

Cell lengths 3.8794, 3.8794, 15.3060 Å; angles 90.00, 90.00, 120.00 degrees
Last column: nearest neighbours and their distance in Å.
Fractional coordinates of all 4 atoms:
Cs 0.3333 0.6667 0.0000  1 La 3.65, 6 Cs 3.88
Cs 0.6667 0.3333 0.5000  1 La 3.65, 6 Cs 3.88
La 0.3333 0.6667 0.2385  1 Cs 3.65, 6 La 3.88
La 0.6667 0.3333 0.7385  1 Cs 3.65, 6 La 3.88



SrPu2Ag9 | PBE | optimized geometry

Values from the calculation:
- total magnetic moment (μB/cell) = 12.47
- D(E_F) (states/eV per atom) = 1.900
- density (Mg/m³) = 9.659
- total DFT energy (no corrections) (eV per atom) = -4.732

Cell lengths 10.0632, 10.0632, 10.0632 Å; angles 32.79, 32.79, 32.79 degrees
Last column: nearest neighbours and their distance in Å.
Fractional coordinates of all 12 atoms:
Sr 0.0000 0.0000 0.0000  6 Ag 3.28
Pu 0.1493 0.1493 0.1493  12 Ag 3.30-3.40, 3 Pu 3.43
Pu 0.8507 0.8507 0.8507  12 Ag 3.30-3.40, 3 Pu 3.43
Ag 0.0833 0.5841 0.5841  7 Ag 2.84-2.92
Ag 0.3327 0.3327 0.3327  6 Ag 2.88-2.92
Ag 0.4159 0.4159 0.9167  7 Ag 2.84-2.92
Ag 0.4159 0.9167 0.4159  7 Ag 2.84-2.92
Ag 0.5000 0.5000 0.5000  6 Ag 2.88
Ag 0.5841 0.0833 0.5841  7 Ag 2.84-2.92
Ag 0.5841 0.5841 0.0833  7 Ag 2.84-2.92
Ag 0.6673 0.6673 0.6673  6 Ag 2.88-2.92
Ag 0.9167 0.4159 0.4159  7 Ag 2.84-2.92



CsPuO3 | PBE | optimized geometry

Values from the calculation:
- total magnetic moment (μB/cell) = 3.00
- D(E_F) (states/eV per atom) = 0.904
- formation energy from raw total energies (eV per atom) = -2.45
- density (Mg/m³) = 8.395

Cell lengths 4.3804, 4.3804, 4.3804 Å; angles 90.00, 90.00, 90.00 degrees
Last column: nearest neighbours and their distance in Å.
Fractional coordinates of all 5 atoms:
Cs 0.0000 0.0000 0.0000  12 O 3.10
Pu 0.5000 0.5000 0.5000  6 O 2.19
O 0.0000 0.5000 0.5000  2 Pu 2.19
O 0.5000 0.0000 0.5000  2 Pu 2.19
O 0.5000 0.5000 0.0000  2 Pu 2.19